Computed, not measured: a relaxed structure of Ta2NiIr at the PBEsol level of DFT.

Lattice parameters (Å, degrees): 3.8015 3.8015 4.9356 112.65 112.65 90.00
Last column: nearest neighbours and their distance in Å.
Positions (direct):
Ir1 0.5000 0.5000 0.0000  8 Ta 2.69-2.81, 4 Ni 2.81
Ni1 0.2500 0.7500 0.5000  8 Ta 2.69-2.81, 4 Ir 2.81
Ta1 0.0000 0.0000 0.0000  4 Ir 2.69, 4 Ta 2.81, 4 Ni 2.81
Ta2 0.7500 0.2500 0.5000  4 Ni 2.69, 4 Ta 2.81, 4 Ir 2.81

Calculated values
- Calculated total energy: -10.555 eV/atom
- Formation enthalpy at 0 K: -0.284 eV per atom
- Volume: 14.95 Å³ per atom
- SG: I-4m2, No. 119



Computed, not measured: a relaxed structure of Ta2NiIr at the PBEsol level of DFT.

Lattice parameters (Å, degrees): 3.9284 3.9284 4.7327 114.52 114.52 90.00
Last column: nearest neighbours and their distance in Å.
Positions (direct):
Ni1 0.5000 0.5000 0.0000  8 Ta 2.74, 4 Ir 2.78
Ir1 0.0000 0.0000 0.0000  8 Ta 2.74, 4 Ni 2.78
Ta1 0.2500 0.7500 0.5000  4 Ni 2.74, 4 Ir 2.74, 4 Ta 2.78
Ta2 0.7500 0.2500 0.5000  4 Ni 2.74, 4 Ir 2.74, 4 Ta 2.78

Calculated values
- Calculated total energy: -10.670 eV/atom
- Formation enthalpy at 0 K: -0.399 eV per atom
- Volume: 14.78 Å³ per atom
- SG: I4/mmm, No. 139



Computed, not measured: a relaxed structure of TaNi2Ir at the PBEsol level of DFT.

Lattice parameters (Å, degrees): 3.7145 3.7145 4.5967 113.83 113.83 90.00
Last column: nearest neighbours and their distance in Å.
Positions (direct):
Ni1 0.0000 0.0000 0.0000  4 Ta 2.63, 4 Ni 2.65, 4 Ir 2.65
Ni2 0.2500 0.7500 0.5000  4 Ir 2.63, 4 Ta 2.65, 4 Ni 2.65
Ir1 0.7500 0.2500 0.5000  8 Ni 2.63-2.65, 4 Ta 2.65
Ta1 0.5000 0.5000 0.0000  8 Ni 2.63-2.65, 4 Ir 2.65

Calculated values
- Calculated total energy: -9.115 eV/atom
- Formation enthalpy at 0 K: -0.442 eV per atom
- Volume: 13.01 Å³ per atom
- SG: I-4m2, No. 119



Computed, not measured: a relaxed structure of TaNi2Ir at the PBEsol level of DFT.

Lattice parameters (Å, degrees): 3.7190 3.7190 4.5750 113.98 113.98 90.00
Last column: nearest neighbours and their distance in Å.
Positions (direct):
Ni1 0.7500 0.2500 0.5000  4 Ni 2.63, 4 Ta 2.64, 4 Ir 2.64
Ni2 0.2500 0.7500 0.5000  4 Ni 2.63, 4 Ta 2.64, 4 Ir 2.64
Ir1 0.5000 0.5000 0.0000  4 Ta 2.63, 8 Ni 2.64
Ta1 0.0000 0.0000 0.0000  4 Ir 2.63, 8 Ni 2.64

Calculated values
- Calculated total energy: -9.098 eV/atom
- Formation enthalpy at 0 K: -0.425 eV per atom
- Volume: 12.95 Å³ per atom
- SG: I4/mmm, No. 139



Computed, not measured: a relaxed structure of Tc2NiIr at the PBEsol level of DFT.

Lattice parameters (Å, degrees): 2.6688 4.2217 4.6481 90.00 90.00 90.00
Last column: nearest neighbours and their distance in Å.
Positions (direct):
Ni1 0.5000 0.5000 0.2076  2 Ir 2.59, 8 Tc 2.61-2.72, 2 Ni 2.67
Ir1 0.5000 0.0000 0.5300  2 Ni 2.59, 8 Tc 2.62-2.75, 2 Ir 2.67
Tc1 0.0000 0.0000 0.0462  4 Ni 2.61, 4 Tc 2.61-2.67, 4 Ir 2.62-2.75
Tc2 0.0000 0.5000 0.7163  4 Tc 2.61-2.67, 4 Ir 2.64, 4 Ni 2.64-2.72

Calculated values
- Calculated total energy: -9.798 eV/atom
- Energy above the lowest structure with this stoichiometry: 0 meV per atom
- Formation enthalpy at 0 K: -0.170 eV per atom
- Volume: 13.09 Å³ per atom
- SG: Pmm2, No. 25



Computed, not measured: a relaxed structure of Tc2NiIr at the PBEsol level of DFT.

Lattice parameters (Å, degrees): 2.6589 2.6589 8.7708 81.28 81.28 60.00
Last column: nearest neighbours and their distance in Å.
Positions (direct):
Ir1 0.5000 0.5000 0.5000  6 Ir 2.66, 6 Tc 2.70
Ni1 0.0000 0.0000 0.0000  6 Tc 2.60, 6 Ni 2.66
Tc1 0.2526 0.2526 0.2423  3 Ni 2.60, 6 Tc 2.66, 3 Ir 2.70
Tc2 0.7474 0.7474 0.7577  3 Ni 2.60, 6 Tc 2.66, 3 Ir 2.70

Calculated values
- Calculated total energy: -9.600 eV/atom
- Energy above the lowest structure with this stoichiometry: 198 meV per atom
- Formation enthalpy at 0 K: 0.029 eV per atom
- Volume: 13.22 Å³ per atom
- SG: R-3m, No. 166



Computed, not measured: a relaxed structure of Tc3NiIr at the PBEsol level of DFT.

Lattice parameters (Å, degrees): 4.5857 4.5857 4.5857 90.00 90.00 90.00
Last column: nearest neighbours and their distance in Å.
Positions (direct):
Ni1 0.5000 0.5000 0.5000  12 Tc 3.24
Ir1 0.0000 0.0000 0.0000  6 Tc 2.29
Tc1 0.0000 0.5000 0.0000  2 Ir 2.29
Tc2 0.0000 0.0000 0.5000  2 Ir 2.29
Tc3 0.5000 0.0000 0.0000  2 Ir 2.29

Calculated values
- Calculated total energy: -7.762 eV/atom
- Formation enthalpy at 0 K: 2.194 eV per atom
- Volume: 19.29 Å³ per atom
- SG: Pm-3m, No. 221



Computed, not measured: a relaxed structure of TcNi2Ir at the PBEsol level of DFT.

Lattice parameters (Å, degrees): 2.6418 3.6513 5.0881 90.00 90.00 90.00
Last column: nearest neighbours and their distance in Å.
Positions (direct):
Ni1 0.0000 0.0000 0.0143  2 Tc 2.45-2.64, 6 Ni 2.53-2.64, 4 Ir 2.63
Ni2 0.5000 0.5000 0.2410  2 Ir 2.50-2.59, 6 Ni 2.53-2.64, 4 Tc 2.60
Ir1 0.5000 0.5000 0.7493  6 Ni 2.50-2.63, 4 Tc 2.60, 2 Ir 2.64
Tc1 0.0000 0.0000 0.4954  6 Ni 2.45-2.64, 4 Ir 2.60, 2 Tc 2.64

Calculated values
- Calculated total energy: -8.427 eV/atom
- Energy above the lowest structure with this stoichiometry: 15 meV per atom
- Formation enthalpy at 0 K: -0.076 eV per atom
- Volume: 12.27 Å³ per atom
- SG: Pmm2, No. 25



Computed, not measured: a relaxed structure of Tc2NiIr at the PBEsol level of DFT.

Lattice parameters (Å, degrees): 2.6476 4.6263 4.6263 111.75 90.00 90.00
Last column: nearest neighbours and their distance in Å.
Positions (direct):
Ir1 0.5000 0.0000 0.0000  2 Ni 2.60, 2 Ir 2.65, 8 Tc 2.67
Ni1 0.5000 0.5000 0.5000  2 Ir 2.60, 2 Ni 2.65, 8 Tc 2.67
Tc1 0.0000 0.5000 0.0000  4 Tc 2.60-2.65, 4 Ni 2.67, 4 Ir 2.67
Tc2 0.0000 0.0000 0.5000  4 Tc 2.60-2.65, 4 Ir 2.67, 4 Ni 2.67

Calculated values
- Calculated total energy: -9.673 eV/atom
- Energy above the lowest structure with this stoichiometry: 126 meV per atom
- Formation enthalpy at 0 K: -0.044 eV per atom
- Volume: 13.16 Å³ per atom
- SG: Cmmm, No. 65



Computed, not measured: a relaxed structure of TcNi3Ir at the PBEsol level of DFT.

Lattice parameters (Å, degrees): 4.2525 4.2525 4.2525 90.00 90.00 90.00
Last column: nearest neighbours and their distance in Å.
Positions (direct):
Ni1 0.0000 0.5000 0.0000  2 Tc 2.13
Ni2 0.0000 0.0000 0.5000  2 Tc 2.13
Ni3 0.5000 0.0000 0.0000  2 Tc 2.13
Ir1 0.5000 0.5000 0.5000  12 Ni 3.01
Tc1 0.0000 0.0000 0.0000  6 Ni 2.13

Calculated values
- Calculated total energy: -6.159 eV/atom
- Formation enthalpy at 0 K: 1.754 eV per atom
- Volume: 15.38 Å³ per atom
- SG: Pm-3m, No. 221



Computed, not measured: a relaxed structure of TcNi2Ir at the PBEsol level of DFT.

Lattice parameters (Å, degrees): 3.6059 3.6059 4.5283 113.46 113.46 90.00
Last column: nearest neighbours and their distance in Å.
Positions (direct):
Ni1 0.5000 0.5000 0.0000  4 Tc 2.55, 4 Ir 2.60, 4 Ni 2.60
Ni2 0.2500 0.7500 0.5000  4 Ir 2.55, 4 Ni 2.60, 4 Tc 2.60
Ir1 0.7500 0.2500 0.5000  8 Ni 2.55-2.60, 4 Tc 2.60
Tc1 0.0000 0.0000 0.0000  8 Ni 2.55-2.60, 4 Ir 2.60

Calculated values
- Calculated total energy: -8.442 eV/atom
- Energy above the lowest structure with this stoichiometry: 0 meV per atom
- Formation enthalpy at 0 K: -0.091 eV per atom
- Volume: 12.16 Å³ per atom
- SG: I-4m2, No. 119



Computed, not measured: a relaxed structure of TiTcNi2Ir at the PBEsol level of DFT.

Lattice parameters (Å, degrees): 4.1662 4.1662 4.4990 90.00 90.00 90.00
Last column: nearest neighbours and their distance in Å.
Positions (direct):
Ni1 0.0000 0.5000 0.0000  2 Ti 2.08
Ni2 0.5000 0.0000 0.0000  2 Ti 2.08
Ir1 0.0000 0.0000 0.5000  2 Ti 2.25
Tc1 0.5000 0.5000 0.5000  4 Ir 2.95, 8 Ni 3.07
Ti1 0.0000 0.0000 0.0000  4 Ni 2.08, 2 Ir 2.25

Calculated values
- Calculated total energy: -7.072 eV/atom
- Formation enthalpy at 0 K: 1.273 eV per atom
- Volume: 15.62 Å³ per atom
- SG: P4/mmm, No. 123



The lowest volume belongs to which entry? number 11



Which value of calculated total energy does entry 9 give? -9.673 eV/atom



Look up the volume of the seventh one. 19.29 Å³ per atom



What is the formula in the second record? Ta2NiIr